Entry 1:
First-principles (meta-GGA SCAN) data for a PBEsol-optimized structure of Tl2Fe2Cu, as listed in Alexandria.

Calculated values
ΔE to the lowest computed polymorph = 221 meV per atom
Space group = I4/mmm, No. 139
Crystal system = tetragonal

Unit cell a=5.023 b=5.023 c=5.023 alpha=89.44 beta=60.32 gamma=119.68
Last column: magnetic moment on the atom in μB.
Fractional positions:
Fe (0.000, 0.650, 0.350)  2.46
Fe (0.000, 0.350, 0.650)  2.46
Tl (0.500, 0.250, 0.250)  -0.07
Tl (0.500, 0.750, 0.750)  -0.07
Cu (0.000, 0.000, 0.000)  0.03

***

Entry 2:
First-principles (meta-GGA SCAN) data for a PBEsol-optimized structure of Tl2FeCu, as listed in Alexandria.

Calculated values
ΔE to the lowest computed polymorph = 153 meV per atom
Space group = I-4m2, No. 119
Crystal system = tetragonal

Unit cell a=3.872 b=3.872 c=5.478 alpha=110.70 beta=110.70 gamma=90.00
Last column: magnetic moment on the atom in μB.
Fractional positions:
Cu (0.500, 0.500, 0.000)  -0.01
Tl (0.750, 0.250, 0.500)  -0.04
Tl (0.000, 0.000, 0.000)  -0.02
Fe (0.250, 0.750, 0.500)  3.06

***

Entry 3:
First-principles (meta-GGA SCAN) data for a PBEsol-optimized structure of Tl3FeCu, as listed in Alexandria.

Calculated values
Space group = Pm-3m, No. 221
Crystal system = cubic

Unit cell a=4.984 b=4.984 c=4.984 alpha=90.00 beta=90.00 gamma=90.00
Last column: magnetic moment on the atom in μB.
Fractional positions:
Cu (0.500, 0.500, 0.500)  0.04
Tl (0.000, 0.000, 0.500)  -0.06
Tl (0.500, 0.000, 0.000)  -0.06
Tl (0.000, 0.500, 0.000)  -0.06
Fe (0.000, 0.000, 0.000)  2.41

***

Entry 4:
First-principles (meta-GGA SCAN) data for a PBEsol-optimized structure of TlFe2Cu, as listed in Alexandria.

Calculated values
ΔE to the lowest computed polymorph = 0 meV per atom
Space group = P4/mmm, No. 123
Crystal system = tetragonal

Unit cell a=3.711 b=3.711 c=3.997 alpha=90.00 beta=90.00 gamma=90.00
Last column: magnetic moment on the atom in μB.
Fractional positions:
Fe (0.000, 0.500, 0.000)  2.85
Fe (0.500, 0.000, 0.000)  2.85
Tl (0.500, 0.500, 0.500)  -0.12
Cu (0.000, 0.000, 0.500)  0.01

***

Entry 5:
First-principles (meta-GGA SCAN) data for a PBEsol-optimized structure of Tl2Fe2Cu, as listed in Alexandria.

Calculated values
ΔE to the lowest computed polymorph = 0 meV per atom
Space group = I4/mmm, No. 139
Crystal system = tetragonal

Unit cell a=3.301 b=3.301 c=8.235 alpha=101.56 beta=101.56 gamma=90.00
Last column: magnetic moment on the atom in μB.
Fractional positions:
Tl (0.606, 0.606, 0.211)  -0.01
Tl (0.394, 0.394, 0.789)  -0.01
Fe (0.750, 0.250, 0.500)  2.78
Fe (0.250, 0.750, 0.500)  2.78
Cu (0.000, 0.000, 0.000)  0.03

***

Entry 6:
First-principles (meta-GGA SCAN) data for a PBEsol-optimized structure of Tl2FeCu, as listed in Alexandria.

Calculated values
ΔE to the lowest computed polymorph = 0 meV per atom
Space group = P4mm, No. 99
Crystal system = tetragonal

Unit cell a=3.150 b=3.150 c=7.591 alpha=90.00 beta=90.00 gamma=90.00
Last column: magnetic moment on the atom in μB.
Fractional positions:
Fe (0.500, 0.500, 0.700)  3.10
Tl (0.500, 0.500, 0.305)  -0.02
Tl (0.000, 0.000, 0.942)  0.00
Cu (0.000, 0.000, 0.552)  0.06

***

Entry 7:
First-principles (meta-GGA SCAN) data for a PBEsol-optimized structure of TlFe2Cu, as listed in Alexandria.

Calculated values
ΔE to the lowest computed polymorph = 115 meV per atom
Space group = P4/mmm, No. 123
Crystal system = tetragonal

Unit cell a=2.822 b=2.822 c=7.081 alpha=90.00 beta=90.00 gamma=90.00
Last column: magnetic moment on the atom in μB.
Fractional positions:
Tl (0.500, 0.500, 0.000)  -0.06
Fe (0.000, 0.000, 0.290)  2.96
Fe (0.000, 0.000, 0.710)  2.96
Cu (0.500, 0.500, 0.500)  0.07

***

Entry 8:
First-principles (meta-GGA SCAN) data for a PBEsol-optimized structure of TlFe2Cu, as listed in Alexandria.

Calculated values
ΔE to the lowest computed polymorph = 293 meV per atom
Space group = R-3m, No. 166
Crystal system = trigonal

Unit cell a=2.849 b=2.849 c=8.554 alpha=80.42 beta=80.42 gamma=60.00
Last column: magnetic moment on the atom in μB.
Fractional positions:
Cu (0.000, 0.000, 0.000)  0.09
Tl (0.500, 0.500, 0.500)  -0.05
Fe (0.742, 0.742, 0.774)  3.02
Fe (0.258, 0.258, 0.226)  3.02

***

Entry 9:
First-principles (meta-GGA SCAN) data for a PBEsol-optimized structure of FeCuW2, as listed in Alexandria.

Calculated values
ΔE to the lowest computed polymorph = 0 meV per atom
Space group = Pm, No. 6
Crystal system = monoclinic

Unit cell a=2.602 b=4.262 c=4.855 alpha=90.00 beta=97.20 gamma=90.00
Last column: magnetic moment on the atom in μB.
Fractional positions:
Fe (0.342, 0.500, 0.763)  2.18
Cu (0.379, 0.000, 0.492)  -0.01
W (0.005, 0.000, 0.970)  -0.13
W (0.774, 0.500, 0.275)  -0.08

***

Entry 10:
First-principles (meta-GGA SCAN) data for a PBEsol-optimized structure of FeCuW2, as listed in Alexandria.

Calculated values
ΔE to the lowest computed polymorph = 77 meV per atom
Space group = Pmm2, No. 25
Crystal system = orthorhombic

Unit cell a=2.584 b=3.906 c=5.386 alpha=90.00 beta=90.00 gamma=90.00
Last column: magnetic moment on the atom in μB.
Fractional positions:
Cu (0.000, 0.000, 0.510)  0.00
W (0.000, 0.000, 0.986)  -0.19
W (0.500, 0.500, 0.268)  -0.03
Fe (0.500, 0.500, 0.736)  2.44

***

Entry 11:
First-principles (meta-GGA SCAN) data for a PBEsol-optimized structure of FeCuW2, as listed in Alexandria.

Calculated values
ΔE to the lowest computed polymorph = 113 meV per atom
Space group = I-4m2, No. 119
Crystal system = tetragonal

Unit cell a=3.711 b=3.711 c=4.706 alpha=113.22 beta=113.22 gamma=90.00
Last column: magnetic moment on the atom in μB.
Fractional positions:
W (0.000, 0.000, 0.000)  -0.01
W (0.750, 0.250, 0.500)  0.12
Cu (0.500, 0.500, 0.000)  0.05
Fe (0.250, 0.750, 0.500)  2.62

***

Entry 12:
First-principles (meta-GGA SCAN) data for a PBEsol-optimized structure of FeCuW, as listed in Alexandria.

Calculated values
Space group = F-43m, No. 216
Crystal system = cubic

Unit cell a=3.978 b=3.978 c=3.978 alpha=60.00 beta=60.00 gamma=60.00
Last column: magnetic moment on the atom in μB.
Fractional positions:
W (0.250, 0.250, 0.250)  -0.36
Fe (0.500, 0.500, 0.500)  1.11
Cu (0.000, 0.000, 0.000)  -0.01

***

Entry 13:
First-principles (meta-GGA SCAN) data for a PBEsol-optimized structure of YFe2Cu, as listed in Alexandria.

Calculated values
Space group = P2/m, No. 10
Crystal system = monoclinic

Unit cell a=3.062 b=4.340 c=4.743 alpha=90.00 beta=99.59 gamma=90.00
Last column: magnetic moment on the atom in μB.
Fractional positions:
Cu (0.000, 0.500, 0.500)  0.05
Y (0.500, 0.500, 0.000)  -0.34
Fe (0.172, 0.000, 0.302)  2.76
Fe (0.828, 0.000, 0.698)  2.76

***

Entry 14:
First-principles (meta-GGA SCAN) data for a PBEsol-optimized structure of Y2FeCu, as listed in Alexandria.

Calculated values
Space group = C2/m, No. 12
Crystal system = monoclinic

Unit cell a=3.298 b=3.731 c=7.578 alpha=100.16 beta=90.00 gamma=116.23
Last column: magnetic moment on the atom in μB.
Fractional positions:
Y (0.247, 0.494, 0.231)  -0.30
Y (0.753, 0.506, 0.769)  -0.30
Fe (0.500, 0.000, 0.000)  1.88
Cu (0.000, 0.000, 0.500)  -0.02

***

Entry 15:
First-principles (meta-GGA SCAN) data for a PBEsol-optimized structure of Y2FeCu, as listed in Alexandria.

Calculated values
Space group = P4mm, No. 99
Crystal system = tetragonal

Unit cell a=3.280 b=3.280 c=7.559 alpha=90.00 beta=90.00 gamma=90.00
Last column: magnetic moment on the atom in μB.
Fractional positions:
Y (0.000, 0.000, 0.932)  -0.39
Y (0.500, 0.500, 0.319)  -0.04
Cu (0.000, 0.000, 0.557)  0.03
Fe (0.500, 0.500, 0.692)  2.86

***

Number 1: formation enthalpy at 0 K 0.78 eV/atom. Number 2: formation enthalpy at 0 K 0.57 eV/atom. Number 3: formation enthalpy at 0 K 0.68 eV/atom. Number 4: formation enthalpy at 0 K 0.32 eV/atom. Number 5: formation enthalpy at 0 K 0.55 eV/atom. Number 6: formation enthalpy at 0 K 0.42 eV/atom. Number 7: formation enthalpy at 0 K 0.44 eV/atom. Number 8: formation enthalpy at 0 K 0.62 eV/atom. Number 9: formation enthalpy at 0 K 0.25 eV/atom. Number 10: formation enthalpy at 0 K 0.33 eV/atom. Number 11: formation enthalpy at 0 K 0.36 eV/atom. Number 12: formation enthalpy at 0 K 1.09 eV/atom. Number 13: formation enthalpy at 0 K 0.29 eV/atom. Number 14: formation enthalpy at 0 K 0.27 eV/atom. Number 15: formation enthalpy at 0 K 0.10 eV/atom.